Record 1
Density functional theory data (PBE) for crystalline KTl2OsBr8 at its relaxed geometry.

Structure (extended XYZ):
```
12
Lattice="-3.169 4.590 -3.302 -0.710 -7.650 -2.571 -7.372 -1.156 5.468" Properties=species:S:1:pos:R:3 pbc="T T T"
K -3.686 -0.578 2.734
Tl -7.442 -2.391 1.145
Tl -3.808 -1.825 -1.549
Os 0.000 0.000 0.000
Br -2.059 -6.135 -1.100
Br -9.752 -4.711 1.508
Br -4.615 2.636 -2.695
Br -9.191 1.919 0.696
Br -1.498 0.495 -1.912
Br -6.635 -6.852 2.291
Br -5.547 -4.088 -0.513
Br -5.703 -0.128 0.109
```

Calculated values
magnetization = 1.57 μB per formula unit
E_tot = -3.158 eV per atom
formation energy without anion corrections = -0.62 eV/atom
symmetry = P2/m


Record 2
Density functional theory data (PBE) for crystalline ZnCoNi2H5 at its relaxed geometry.

Structure (extended XYZ):
```
9
Lattice="3.116 0.000 0.000 0.000 4.523 0.000 -1.558 -2.261 4.373" Properties=species:S:1:pos:R:3 pbc="T T T"
Zn 0.000 2.261 0.000
Co 1.558 0.000 0.000
Ni 0.000 0.000 2.137
Ni 1.558 2.261 2.237
H 1.558 3.643 1.406
H 0.000 -1.382 2.968
H 0.000 1.382 2.968
H 1.558 0.879 1.406
H 0.000 0.000 0.000
```

Calculated values
magnetization = 0.00 μB per formula unit
E_tot = -4.005 eV per atom
symmetry = Immm


Record 3
Density functional theory data (PBE) for crystalline Cs2PbF5 at its relaxed geometry.

Structure (extended XYZ):
```
16
Lattice="6.866 0.000 0.000 -3.433 6.375 -2.574 0.000 0.360 9.169" Properties=species:S:1:pos:R:3 pbc="T T T"
Cs 3.428 2.300 2.201
Cs -0.005 4.255 -0.190
Cs 3.438 2.481 6.785
Cs 0.005 4.435 4.394
Pb 0.000 0.000 0.000
Pb 0.000 0.180 4.584
F 5.295 1.627 -0.063
F 5.299 1.811 4.511
F 1.567 1.631 -0.073
F 1.862 4.928 2.073
F 1.571 1.807 4.522
F 0.009 0.090 2.292
F 1.866 5.105 6.668
F -1.866 4.925 2.084
F -1.862 5.108 6.658
F 6.857 0.270 6.876
```

Calculated values
magnetization = 0.00 μB per formula unit
E_tot = -4.331 eV per atom
formation energy without anion corrections = -2.48 eV/atom
symmetry = C2/c


Record 4
Density functional theory data (PBE) for crystalline Tm8ZnTc2 at its relaxed geometry.

Structure (extended XYZ):
```
11
Lattice="-0.694 0.073 -5.412 7.665 -0.476 0.146 -3.317 -6.770 1.470" Properties=species:S:1:pos:R:3 pbc="T T T"
Tm 1.931 -0.581 -3.004
Tm -0.988 -2.254 -2.652
Tm 1.520 -2.740 -0.421
Tm -1.370 -5.219 -4.247
Tm 4.362 -1.934 -4.938
Tm 2.155 -4.464 -3.348
Tm 4.672 -4.974 -1.114
Tm 1.760 -6.643 -0.763
Zn -0.004 -0.011 -0.086
Tc 3.867 -2.451 -2.126
Tc -0.182 -4.772 -1.638
```

Calculated values
magnetization = 0.00 μB per formula unit
calculated formation energy = -78 meV per atom
E_tot = -5.330 eV per atom
symmetry = Cm


> Which of these has the highest E_tot?

KTl2OsBr8


> E_tot of number 1 (KTl2OsBr8)?

-3.158 eV per atom


Copy entry 2 word for word.
Density functional theory data (PBE) for crystalline ZnCoNi2H5 at its relaxed geometry.

Structure (extended XYZ):
```
9
Lattice="3.116 0.000 0.000 0.000 4.523 0.000 -1.558 -2.261 4.373" Properties=species:S:1:pos:R:3 pbc="T T T"
Zn 0.000 2.261 0.000
Co 1.558 0.000 0.000
Ni 0.000 0.000 2.137
Ni 1.558 2.261 2.237
H 1.558 3.643 1.406
H 0.000 -1.382 2.968
H 0.000 1.382 2.968
H 1.558 0.879 1.406
H 0.000 0.000 0.000
```

Calculated values
magnetization = 0.00 μB per formula unit
E_tot = -4.005 eV per atom
symmetry = Immm